(1)
KCe2PuSe4: optimized geometry, PBE.

E_tot (eV/atom): -6.759
SG: No. 10
Volume (Å³/atom): 28.024
Magnetic moment (μB per formula unit): 6.326

abc: 4.2590 7.4602 7.4708
angles: 70.82 90.00 90.00
With the nearest neighbours (Å) after each atom.
Sites, in units of the cell vectors:
K  0.5000  0.5000  0.0000  6 Se 3.11-3.13
Ce  0.0000  0.0000  0.0000  6 Se 3.05-3.06
Ce  0.5000  0.0000  0.5000  6 Se 2.94-2.97
Pu  0.0000  0.5000  0.5000  6 Se 3.01-3.04
Se  0.0000  0.7647  0.7342  3 Ce 2.94-3.05, 1 Pu 3.04, 2 K 3.13
Se  0.0000  0.2353  0.2658  3 Ce 2.94-3.05, 1 Pu 3.04, 2 K 3.13
Se  0.5000  0.7519  0.2596  3 Ce 2.97-3.06, 2 Pu 3.01, 1 K 3.11
Se  0.5000  0.2481  0.7404  3 Ce 2.97-3.06, 2 Pu 3.01, 1 K 3.11

(2)
TbTm2P3: optimized geometry, PBE.

E_tot (eV/atom): -6.573
SG: No. 71
ΔH_f (0 K) (eV per atom): -1.606
Volume (Å³/atom): 22.215
Magnetic moment (μB per formula unit): 0.000

abc: 3.9773 5.6218 6.8841
angles: 114.10 106.79 90.00
With the nearest neighbours (Å) after each atom.
Sites, in units of the cell vectors:
Tb  0.0000  0.5000  0.0000  6 P 2.81-2.83
Tm  0.6663  0.1663  0.3326  6 P 2.79-2.81
Tm  0.3337  0.8337  0.6674  6 P 2.79-2.81
P  0.3307  0.3307  0.6614  4 Tm 2.79-2.81, 2 Tb 2.83
P  0.0000  0.0000  0.0000  4 Tm 2.81, 2 Tb 2.81
P  0.6693  0.6693  0.3386  4 Tm 2.79-2.81, 2 Tb 2.83

(3)
CePa2Co4Ge3: optimized geometry, PBE.

E_tot (eV/atom): -7.165
SG: No. 115
ΔH_f (0 K) (eV per atom): -0.445
Volume (Å³/atom): 17.031
Magnetic moment (μB per formula unit): 0.962

abc: 4.1595 4.1595 9.8439
angles: 90.00 90.00 90.00
With the nearest neighbours (Å) after each atom.
Sites, in units of the cell vectors:
Ce  0.5000  0.5000  0.5000  4 Co 2.52
Pa  0.5000  0.0000  0.2198  8 Co 3.00-3.23, 4 Ge 3.09
Pa  0.0000  0.5000  0.7802  8 Co 3.00-3.23, 4 Ge 3.09
Co  0.5000  0.5000  0.0000  4 Ge 2.41
Co  0.0000  0.0000  0.0000  4 Ge 2.41
Co  0.5000  0.0000  0.6437  3 Ge 2.29-2.52, 2 Ce 2.52
Co  0.0000  0.5000  0.3563  3 Ge 2.29-2.52, 2 Ce 2.52
Ge  0.0000  0.0000  0.5000  4 Co 2.52
Ge  0.5000  0.0000  0.8766  5 Co 2.29-2.41
Ge  0.0000  0.5000  0.1234  5 Co 2.29-2.41